Entry 1:
A geometry-optimized ZrCu2Se structure, computed with GGA-PBE.

## Properties
As for the crystal system: monoclinic. The calculation puts the uncorrected formation energy at -0.208 eV/atom.

Unit cell a=5.398 b=5.398 c=4.241 alpha=112.66 beta=112.66 gamma=35.69
Element x y z (fractional)
Zr 0.000 0.000 0.000
Cu 0.236 0.236 0.735
Cu 0.764 0.764 0.265
Se 0.500 0.500 0.500


Entry 2:
A geometry-optimized ZrCu2Se structure, computed with GGA-PBE.

## Properties
As for the crystal system: monoclinic. The calculation puts the uncorrected formation energy at -0.340 eV/atom.

Unit cell a=3.411 b=3.475 c=6.027 alpha=90.00 beta=106.03 gamma=90.00
Element x y z (fractional)
Zr 0.000 0.000 0.000
Cu 0.221 0.000 0.458
Cu 0.647 0.500 0.306
Se 0.399 0.500 0.795


Entry 3:
A geometry-optimized ZrCuSe structure, computed with GGA-PBE.

## Properties
As for the crystal system: monoclinic. Its offset from the most stable computed form is 0.0844 eV per atom. The calculation puts the uncorrected formation energy at -0.629 eV/atom.

Unit cell a=4.961 b=4.961 c=6.657 alpha=93.84 beta=93.84 gamma=41.72
Element x y z (fractional)
Zr 0.064 0.064 0.272
Zr 0.936 0.936 0.728
Cu 0.354 0.354 0.025
Cu 0.646 0.646 0.975
Se 0.356 0.356 0.394
Se 0.644 0.644 0.606


Entry 4:
A geometry-optimized ZrCuSe structure, computed with GGA-PBE.

## Properties
As for the crystal system: tetragonal. Its offset from the most stable computed form is 0.0756 eV per atom. The calculation puts the uncorrected formation energy at -0.638 eV/atom.

Unit cell a=3.481 b=3.481 c=9.161 alpha=90.00 beta=90.00 gamma=90.00
Element x y z (fractional)
Zr 0.250 0.250 0.240
Zr 0.750 0.750 0.760
Cu 0.250 0.250 0.946
Cu 0.750 0.750 0.054
Se 0.250 0.250 0.635
Se 0.750 0.750 0.365


Entry 5:
A geometry-optimized Zr2CuSe2 structure, computed with GGA-PBE.

## Properties
As for the crystal system: tetragonal. Its offset from the most stable computed form is 0.0000 eV per atom. The calculation puts the uncorrected formation energy at -0.732 eV/atom.

Unit cell a=7.408 b=7.408 c=3.560 alpha=90.00 beta=90.00 gamma=90.00
Element x y z (fractional)
Zr 0.151 0.349 0.000
Zr 0.349 0.849 0.000
Zr 0.651 0.151 0.000
Zr 0.849 0.651 0.000
Cu 0.000 0.000 0.000
Cu 0.500 0.500 0.000
Se 0.145 0.645 0.500
Se 0.355 0.145 0.500
Se 0.645 0.855 0.500
Se 0.855 0.355 0.500


Entry 6:
A geometry-optimized ZrCu2Se structure, computed with GGA-PBE.

## Properties
As for the crystal system: trigonal. The calculation puts the uncorrected formation energy at -0.246 eV/atom.

Unit cell a=6.077 b=6.077 c=6.077 alpha=36.67 beta=36.67 gamma=36.67
Element x y z (fractional)
Zr 0.000 0.000 0.000
Cu 0.251 0.251 0.251
Cu 0.521 0.521 0.521
Se 0.768 0.768 0.768


Entry 7:
A geometry-optimized Zr4CuSe structure, computed with GGA-PBE.

## Properties
As for the crystal system: cubic. The calculation puts the uncorrected formation energy at 0.446 eV/atom.

Unit cell a=5.704 b=5.704 c=5.704 alpha=60.00 beta=60.00 gamma=60.00
Element x y z (fractional)
Zr 0.124 0.124 0.124
Zr 0.124 0.124 0.629
Zr 0.124 0.629 0.124
Zr 0.629 0.124 0.124
Cu 0.750 0.750 0.750
Se 0.500 0.500 0.500


Entry 8:
A geometry-optimized ZrCuSe structure, computed with GGA-PBE.

## Properties
As for the crystal system: monoclinic. Its offset from the most stable computed form is 0.0001 eV per atom. The calculation puts the uncorrected formation energy at -0.713 eV/atom.

Unit cell a=4.178 b=4.178 c=9.344 alpha=94.53 beta=94.53 gamma=59.62
Element x y z (fractional)
Zr 0.018 0.018 0.170
Zr 0.982 0.982 0.830
Cu 0.332 0.332 0.982
Cu 0.668 0.668 0.018
Se 0.298 0.298 0.695
Se 0.702 0.702 0.305


Entry 9:
A geometry-optimized ZrCu2Se structure, computed with GGA-PBE.

## Properties
As for the crystal system: cubic. The calculation puts the uncorrected formation energy at -0.121 eV/atom.

Unit cell a=4.545 b=4.545 c=4.545 alpha=60.00 beta=60.00 gamma=60.00
Element x y z (fractional)
Zr 0.000 0.000 0.000
Cu 0.500 0.500 0.500
Cu 0.750 0.750 0.750
Se 0.250 0.250 0.250


Entry 10:
A geometry-optimized ZrCuSe2 structure, computed with GGA-PBE.

## Properties
As for the crystal system: orthorhombic. The calculation puts the uncorrected formation energy at -0.867 eV/atom.

Unit cell a=3.741 b=5.970 c=5.970 alpha=35.25 beta=90.00 gamma=90.00
Element x y z (fractional)
Zr 0.000 0.000 0.000
Cu 0.500 0.189 0.189
Se 0.000 0.681 0.681
Se 0.500 0.410 0.410


Entry 11:
A geometry-optimized ZrCuSe structure, computed with GGA-PBE.

## Properties
As for the crystal system: triclinic. Its offset from the most stable computed form is 0.0000 eV per atom. The calculation puts the uncorrected formation energy at -0.713 eV/atom.

Unit cell a=4.162 b=4.172 c=9.486 alpha=77.33 beta=89.95 gamma=60.21
Element x y z (fractional)
Zr 0.056 0.388 0.172
Zr 0.944 0.612 0.828
Cu 0.327 0.845 0.982
Cu 0.673 0.155 0.018
Se 0.232 0.037 0.690
Se 0.768 0.963 0.310


Entry 12:
A geometry-optimized ZrCuSe2 structure, computed with GGA-PBE.

## Properties
As for the crystal system: tetragonal. The calculation puts the uncorrected formation energy at -0.696 eV/atom.

Unit cell a=3.734 b=3.734 c=5.665 alpha=90.00 beta=90.00 gamma=90.00
Element x y z (fractional)
Zr 0.000 0.000 0.000
Cu 0.500 0.500 0.316
Se 0.000 0.000 0.455
Se 0.500 0.500 0.884